The following is a GGA+U calculation of a relaxed structure of MnCu2IO8, from the Alexandria database.

Structure (POSCAR):
```
MnCu2IO8
1.0
-3.1808 3.1808 3.3386
3.1808 -3.1808 3.3386
3.1808 3.1808 -3.3386
Mn Cu I O
1 2 1 8
direct
0.0000 0.0000 0.0000
0.5000 0.5000 0.0000
0.7500 0.2500 0.5000
0.2500 0.7500 0.5000
0.2920 0.0991 0.8070
0.2920 0.4850 0.1930
0.3492 0.0321 0.3172
0.5150 0.7080 0.8070
0.7149 0.0321 0.6828
0.9009 0.7080 0.1930
0.9679 0.2851 0.3172
0.9679 0.6508 0.6828
```

Summary:
Calculated volume ... 11.26 Å³/atom
Raw total energy ... -60.07 eV for the cell shown

The following is a GGA+U calculation of a relaxed structure of Mn2CuIO, from the Alexandria database.

Structure (POSCAR):
```
Mn2CuIO
1.0
5.5198 0.0000 0.0000
0.0000 5.5198 0.0000
0.0000 0.0000 4.0448
Mn Cu I O
2 1 1 1
direct
0.0000 0.5000 0.0000
0.5000 0.0000 0.0000
0.0000 0.0000 0.5000
0.5000 0.5000 0.0000
0.5000 0.5000 0.5000
```

Summary:
Calculated volume ... 24.65 Å³/atom
Raw total energy ... -20.91 eV for the cell shown

The following is a GGA+U calculation of a relaxed structure of MnCuIO6, from the Alexandria database.

Structure (POSCAR):
```
MnCuIO6
1.0
4.7019 0.0000 0.0000
0.0000 4.7019 0.0000
0.0000 0.0000 9.1799
Mn Cu I O
2 2 2 12
direct
0.0000 0.0000 0.0000
0.5000 0.5000 0.5000
0.0000 0.0000 0.6690
0.5000 0.5000 0.1690
0.0000 0.0000 0.3356
0.5000 0.5000 0.8356
0.1892 0.1892 0.1755
0.1888 0.1888 0.4945
0.2072 0.2072 0.8354
0.2928 0.7072 0.3354
0.3108 0.6892 0.6755
0.3112 0.6888 0.9945
0.6892 0.3108 0.6755
0.6888 0.3112 0.9945
0.7072 0.2928 0.3354
0.7928 0.7928 0.8354
0.8108 0.8108 0.1755
0.8112 0.8112 0.4945
```

Summary:
Calculated volume ... 11.27 Å³/atom
Raw total energy ... -97.28 eV for the cell shown